Entry 1:
VASP calculation (PBE) on a relaxed PrY3Ho6 crystal.

## Properties
Energy of formation from the pure elements in eV/atom: 0.2936
Energy above the lowest structure with this stoichiometry in meV per atom: 149.9

a b c (Å): 9.8428 9.8428 6.8835
angles (deg): 44.36 44.36 60.00
Last column: nearest neighbours and their distance in Å.
Fractional positions:
Pr 0.8999 0.8999 0.3002  2 Y 2.94-2.96, 3 Ho 3.25
Y 0.3997 0.3997 0.8010  2 Y 2.87-2.88
Y 0.6462 0.6462 0.0613  1 Y 2.87, 1 Pr 2.96
Y 0.1524 0.1524 0.5429  1 Y 2.88, 1 Pr 2.94
Ho 0.9006 0.5696 0.2992  1 Pr 3.25, 2 Y 3.42-3.43
Ho 0.2306 0.9006 0.2992  1 Pr 3.25, 2 Y 3.42-3.43
Ho 0.5696 0.2306 0.2992  1 Pr 3.25, 2 Y 3.42-3.43
Ho 0.0700 0.4008 0.7990  3 Y 3.25-3.45
Ho 0.7302 0.0700 0.7990  3 Y 3.25-3.45
Ho 0.4008 0.7302 0.7990  3 Y 3.25-3.45

---

Entry 2:
VASP calculation (PBE) on a relaxed Si5Au12Br3 crystal.

## Properties
Formation energy from raw total energies in eV/atom: 0.171

a b c (Å): 13.3999 13.3999 13.3999
angles (deg): 109.47 109.47 109.47
Last column: nearest neighbours and their distance in Å.
Fractional positions:
Br 0.7500 0.3750 0.1250  4 Au 2.87
Br 0.8750 0.7500 0.1250  4 Au 2.87
Br 0.3750 0.7500 0.6250  4 Au 2.87
Br 0.2500 0.1250 0.3750  4 Au 2.87
Br 0.8750 0.1250 0.2500  4 Au 2.87
Br 0.3750 0.6250 0.2500  4 Au 2.87
Br 0.6250 0.3750 0.7500  4 Au 2.87
Br 0.1250 0.8750 0.7500  4 Au 2.87
Br 0.7500 0.8750 0.6250  4 Au 2.87
Br 0.6250 0.2500 0.3750  4 Au 2.87
Br 0.1250 0.2500 0.8750  4 Au 2.87
Br 0.2500 0.6250 0.8750  4 Au 2.87
Si 0.1250 0.3750 0.2500  4 Au 2.41
Si 0.0000 0.5000 0.0000  6 Au 2.48
Si 0.0000 0.0000 0.0000  6 Au 2.48
Si 0.3750 0.2500 0.1250  4 Au 2.41
Si 0.5000 0.0000 0.5000  6 Au 2.48
Si 0.5000 0.5000 0.0000  6 Au 2.48
Si 0.1250 0.7500 0.3750  4 Au 2.41
Si 0.7500 0.1250 0.8750  4 Au 2.41
Si 0.7500 0.6250 0.3750  4 Au 2.41
Si 0.3750 0.1250 0.7500  4 Au 2.41
Si 0.6250 0.8750 0.2500  4 Au 2.41
Si 0.5000 0.5000 0.5000  6 Au 2.48
Si 0.5000 0.0000 0.0000  6 Au 2.48
Si 0.0000 0.0000 0.5000  6 Au 2.48
Si 0.2500 0.3750 0.6250  4 Au 2.41
Si 0.2500 0.8750 0.1250  4 Au 2.41
Si 0.0000 0.5000 0.5000  6 Au 2.48
Si 0.8750 0.2500 0.6250  4 Au 2.41
Si 0.6250 0.7500 0.8750  4 Au 2.41
Si 0.8750 0.6250 0.7500  4 Au 2.41
Au 0.7071 0.0906 0.0248  2 Si 2.41-2.48
Au 0.3178 0.5248 0.4342  2 Si 2.41-2.48
Au 0.9752 0.4094 0.2929  2 Si 2.41-2.48
Au 0.5248 0.2071 0.0906  2 Si 2.41-2.48
Au 0.6164 0.7071 0.6822  2 Si 2.41-2.48
Au 0.9752 0.5658 0.1822  2 Si 2.41-2.48
Au 0.3178 0.7929 0.3836  2 Si 2.41-2.48
Au 0.0658 0.8836 0.0906  2 Si 2.41-2.48
Au 0.5658 0.9752 0.6822  2 Si 2.41-2.48
Au 0.7071 0.6164 0.1822  2 Si 2.41-2.48
Au 0.7929 0.4752 0.4094  2 Si 2.41-2.48
Au 0.8178 0.9342 0.0248  2 Si 2.41-2.48
Au 0.0906 0.7071 0.5248  2 Si 2.41-2.48
Au 0.4094 0.4342 0.1164  2 Si 2.41-2.48
Au 0.1164 0.9342 0.4094  2 Si 2.41-2.48
Au 0.3836 0.0906 0.5658  2 Si 2.41-2.48
Au 0.1164 0.1822 0.2071  2 Si 2.41-2.48
Au 0.4752 0.6822 0.0658  2 Si 2.41-2.48
Au 0.8178 0.8836 0.2929  2 Si 2.41-2.48
Au 0.0906 0.3836 0.0658  2 Si 2.41-2.48
Au 0.4094 0.9752 0.7929  2 Si 2.41-2.48
Au 0.5658 0.5906 0.3836  2 Si 2.41-2.48
Au 0.9342 0.8178 0.5248  2 Si 2.41-2.48
Au 0.7929 0.3178 0.8836  2 Si 2.41-2.48
Au 0.4342 0.4094 0.6164  2 Si 2.41-2.48
Au 0.0658 0.1822 0.4752  2 Si 2.41-2.48
Au 0.2071 0.6822 0.1164  2 Si 2.41-2.48
Au 0.1822 0.1164 0.7071  2 Si 2.41-2.48
Au 0.5906 0.0248 0.2071  2 Si 2.41-2.48
Au 0.9094 0.6164 0.9342  2 Si 2.41-2.48
Au 0.5248 0.3178 0.9342  2 Si 2.41-2.48
Au 0.6164 0.9094 0.4342  2 Si 2.41-2.48
Au 0.8836 0.8178 0.7929  2 Si 2.41-2.48
Au 0.8836 0.0658 0.5906  2 Si 2.41-2.48
Au 0.9094 0.2929 0.4752  2 Si 2.41-2.48
Au 0.1822 0.0658 0.9752  2 Si 2.41-2.48
Au 0.5906 0.5658 0.8836  2 Si 2.41-2.48
Au 0.4342 0.0248 0.3178  2 Si 2.41-2.48
Au 0.2929 0.3836 0.8178  2 Si 2.41-2.48
Au 0.2071 0.5248 0.5906  2 Si 2.41-2.48
Au 0.9342 0.1164 0.9094  2 Si 2.41-2.48
Au 0.6822 0.2071 0.6164  2 Si 2.41-2.48
Au 0.4752 0.7929 0.9094  2 Si 2.41-2.48
Au 0.0248 0.4342 0.8178  2 Si 2.41-2.48
Au 0.3836 0.2929 0.3178  2 Si 2.41-2.48
Au 0.0248 0.5906 0.7071  2 Si 2.41-2.48
Au 0.6822 0.4752 0.5658  2 Si 2.41-2.48
Au 0.2929 0.9094 0.9752  2 Si 2.41-2.48

---

Entry 3:
VASP calculation (PBE) on a relaxed RbNa2BrO crystal.

## Properties
Formation energy from raw total energies in eV/atom: -1.297

a b c (Å): 4.7035 4.7035 5.6911
angles (deg): 90.00 90.00 90.00
Last column: nearest neighbours and their distance in Å.
Fractional positions:
O 0.0000 0.0000 0.0000  4 Na 2.35
Na 0.0000 0.5000 0.0000  2 O 2.35
Na 0.5000 0.0000 0.0000  2 O 2.35
Br 0.5000 0.5000 0.5000  4 Rb 3.33, 8 Na 3.69
Rb 0.0000 0.0000 0.5000  2 O 2.85

---

Entry 4:
VASP calculation (PBE) on a relaxed NaIrNO2 crystal.

## Properties
Formation energy from raw total energies in eV/atom: -0.293

a b c (Å): 3.9802 3.9802 3.7489
angles (deg): 90.00 90.00 90.00
Last column: nearest neighbours and their distance in Å.
Fractional positions:
Na 0.5000 0.5000 0.5000  8 O 2.73, 4 N 2.81
Ir 0.0000 0.0000 0.0000  2 N 1.87, 4 O 1.99
O 0.0000 0.5000 0.0000  2 Ir 1.99
O 0.5000 0.0000 0.0000  2 Ir 1.99
N 0.0000 0.0000 0.5000  2 Ir 1.87

---

Entry 5:
VASP calculation (PBE) on a relaxed LaRu2 crystal.

## Properties
Energy of formation from the pure elements in eV/atom: 0.2163

a b c (Å): 6.6524 6.6524 6.6524
angles (deg): 153.86 153.86 37.30
Last column: nearest neighbours and their distance in Å.
Fractional positions:
La 0.5000 0.5000 0.0000  4 La 3.01, 8 Ru 3.22
Ru 0.1921 0.1921 0.0000  4 Ru 2.58
Ru 0.8079 0.8079 0.0000  4 Ru 2.58

---

Entry 6:
VASP calculation (PBE) on a relaxed Rb2PRhBr6 crystal.

## Properties
Formation energy from raw total energies in eV/atom: -0.736

a b c (Å): 7.4340 7.4340 7.4521
angles (deg): 60.08 60.08 90.00
Last column: nearest neighbours and their distance in Å.
Fractional positions:
P 0.5000 0.5000 0.0000  6 Br 2.65-2.67
Rh 0.0000 0.0000 0.0000  6 Br 2.61
Br 0.2472 0.2472 0.5056  1 Rh 2.61, 1 P 2.67
Br 0.7528 0.7528 0.4944  1 Rh 2.61, 1 P 2.67
Br 0.2481 0.2481 0.0000  1 Rh 2.61, 1 P 2.65
Br 0.7519 0.7519 0.0000  1 Rh 2.61, 1 P 2.65
Br 0.7519 0.2481 0.0000  1 Rh 2.61, 1 P 2.65
Br 0.2481 0.7519 0.0000  1 Rh 2.61, 1 P 2.65
Rb 0.7500 0.2500 0.5000  12 Br 3.72-3.73
Rb 0.2500 0.7500 0.5000  12 Br 3.72-3.73

---

| no. | total magnetization (μB/cell) |
| --- | --- |
| 1 | 0.011 |
| 2 | 0.000 |
| 3 | 0.000 |
| 4 | 0.000 |
| 5 | 0.009 |
| 6 | 0.000 |